1.
Entry from the Alexandria database: a relaxed structure of CeY2Zn4 (PBE).

The density of states at the Fermi level is 8.1 states/eV/f.u.

The space group is I4/mmm (No. 139) and the conventional cell measures 5.215, 5.215 and 12.436 Å, with angles of 90.00, 90.00 and 90.00 degrees. The asymmetric unit holds Ce at (0.000, 0.000, 0.000), Y at (0.000, 0.000, 0.277) and Zn at (0.000, 0.500, 0.112).

---

2.
Entry from the Alexandria database: a relaxed structure of Ta2SnOs2 (PBE).

The value obtained for the excess energy over the best structure of this formula in the dataset is 0.135 eV/atom. The density of states at the Fermi level is 2.2 states/eV/f.u.

The space group is I4/mmm (No. 139) and the conventional cell measures 4.314, 4.314 and 10.836 Å, with angles of 90.00, 90.00 and 90.00 degrees. The asymmetric unit holds Ta at (0.000, 0.500, 0.250), Sn at (0.000, 0.000, 0.000) and Os at (0.000, 0.000, 0.382).

---

| no. | energy of formation from the pure elements (meV/atom) | electronic total energy (eV/atom) | magnetization (μB/cell) |
| --- | --- | --- | --- |
| 1 | -109 | -3.5312 | 1.37 |
| 2 | 55 | -9.9787 | 0.00 |